No. 1
A relaxed structure of BaAlSiAu3. Source: Alexandria via LeMat-Bulk, functional GGA-PBE.

Its space group is Cmcm (63). Its volume is 24.8 Å³ per atom. For the formation energy from raw total energies, the calculation gives -0.459 eV per atom.

a b c (Å): 6.5622 6.8599 7.4388
angles (deg): 117.46 90.00 90.00
Fractional coordinates of all 12 atoms:
Au1 0.7500 0.7727 0.5454
Au2 0.0000 0.2838 0.0000
Au3 0.0000 0.7162 0.0000
Au4 0.5000 0.2838 0.0000
Au5 0.5000 0.7162 0.0000
Au6 0.2500 0.2273 0.4546
Si1 0.2500 0.4092 0.8184
Si2 0.7500 0.5908 0.1816
Al1 0.7500 0.9607 0.9214
Al2 0.2500 0.0393 0.0786
Ba1 0.7500 0.2463 0.4926
Ba2 0.2500 0.7537 0.5074

***

No. 2
A relaxed structure of LiY2SnN. Source: Alexandria via LeMat-Bulk, functional GGA-PBE.

Its space group is P4/mmm (123). Its volume is 20.0 Å³ per atom. For the formation energy from raw total energies, the calculation gives -1.014 eV per atom.

a b c (Å): 4.8059 4.8059 4.3330
angles (deg): 90.00 90.00 90.00
Fractional coordinates of all 5 atoms:
Sn1 0.5000 0.5000 0.5000
Y1 0.5000 0.0000 0.0000
Y2 0.0000 0.5000 0.0000
Li1 0.0000 0.0000 0.5000
N1 0.0000 0.0000 0.0000